Compound: SrGeSbTe2
Source: Alexandria via LeMat-Bulk
Functional: GGA-PBEsol
Structure: relaxed

Output
uncorrected energy	-19.60	eV per cell
crystal system	tetragonal

a b c (Å): 5.544 5.544 5.181
angles (deg): 90.00 90.00 90.00
Positions (direct):
Sr1 0.000 0.000 0.000
Ge1 0.500 0.500 0.500
Sb1 0.500 0.500 0.000
Te1 0.000 0.500 0.500
Te2 0.500 0.000 0.500

---

Compound: Os2RhCl
Source: Alexandria via LeMat-Bulk
Functional: GGA-PBEsol
Structure: relaxed

Output
ΔE to the lowest computed polymorph	0	meV/atom
uncorrected energy	-31.76	eV per cell
crystal system	orthorhombic

a b c (Å): 2.771 3.464 6.419
angles (deg): 90.00 90.00 90.00
Positions (direct):
Os1 0.000 0.000 0.000
Os2 0.500 0.500 0.198
Rh1 0.000 0.000 0.427
Cl1 0.500 0.500 0.694

---

Compound: ScNi2Os
Source: Alexandria via LeMat-Bulk
Functional: GGA-PBEsol
Structure: relaxed

Output
energy relative to the elements	-0.670	eV per formula unit
ΔE to the lowest computed polymorph	0	meV/atom
uncorrected energy	-31.81	eV per cell
crystal system	orthorhombic

a b c (Å): 4.537 4.537 2.658
angles (deg): 90.00 90.00 107.90
Positions (direct):
Sc1 0.000 0.000 0.000
Ni1 0.000 0.500 0.500
Ni2 0.500 0.000 0.500
Os1 0.500 0.500 0.000

---

Compound: RbAuC3
Source: Alexandria via LeMat-Bulk
Functional: GGA-PBEsol
Structure: relaxed

Output
energy relative to the elements	14.150	eV per formula unit
uncorrected energy	-19.73	eV per cell
crystal system	cubic

a b c (Å): 4.328 4.328 4.328
angles (deg): 90.00 90.00 90.00
Positions (direct):
Rb1 0.000 0.000 0.000
Au1 0.500 0.500 0.500
C1 0.000 0.500 0.500
C2 0.500 0.000 0.500
C3 0.500 0.500 0.000

---

Compound: Zr2CdBr
Source: Alexandria via LeMat-Bulk
Functional: GGA-PBEsol
Structure: relaxed

Output
ΔE to the lowest computed polymorph	649	meV/atom
uncorrected energy	-19.45	eV per cell
crystal system	cubic

a b c (Å): 5.008 5.008 5.008
angles (deg): 60.00 60.00 60.00
Positions (direct):
Zr1 0.000 0.000 0.000
Zr2 0.250 0.250 0.250
Cd1 0.500 0.500 0.500
Br1 0.750 0.750 0.750

---

Compound: Cd2InRh
Source: Alexandria via LeMat-Bulk
Functional: GGA-PBEsol
Structure: relaxed

Output
energy relative to the elements	-0.489	eV per formula unit
uncorrected energy	-14.00	eV per cell
crystal system	tetragonal

a b c (Å): 5.154 5.154 5.154
angles (deg): 133.23 133.23 68.29
Positions (direct):
Cd1 0.000 0.000 0.000
Cd2 0.750 0.250 0.500
In1 0.500 0.500 0.000
Rh1 0.250 0.750 0.500